A plane-wave DFT calculation with PBEsol was carried out for crystalline Sc3Tl at its relaxed geometry.

Results
**VASP energy**: -46.77 eV/cell

Cell: 5.0245 5.8149 6.0871 Å, 90.00 90.00 90.00°
With the nearest neighbours (Å) after each atom.
Sites, in units of the cell vectors:
Sc1 0.5000 0.1394 0.2456  8 Sc 2.99-3.30, 3 Tl 3.15-3.20
Tl1 0.5000 0.6587 0.5000  12 Sc 3.03-3.39
Tl2 0.0000 0.3413 0.0000  12 Sc 3.03-3.39
Sc2 0.0000 0.8606 0.2544  8 Sc 2.99-3.30, 3 Tl 3.15-3.20
Sc3 0.0000 0.8606 0.7456  8 Sc 2.99-3.30, 3 Tl 3.15-3.20
Sc4 0.5000 0.1394 0.7544  8 Sc 2.99-3.30, 3 Tl 3.15-3.20
Sc5 0.5000 0.6326 0.0000  4 Tl 3.03-3.05, 8 Sc 3.23-3.30
Sc6 0.0000 0.3674 0.5000  4 Tl 3.03-3.05, 8 Sc 3.23-3.30

---

A plane-wave DFT calculation with PBEsol was carried out for crystalline KW2Se at its relaxed geometry.

Results
**VASP energy**: -29.98 eV/cell

Cell: 3.1240 4.4660 7.1569 Å, 97.07 90.00 110.47°
With the nearest neighbours (Å) after each atom.
Sites, in units of the cell vectors:
W1 0.9975 0.9950 0.0071  3 W 2.55-2.57, 3 Se 2.64-2.68
W2 0.7262 0.4524 0.1388  3 W 2.55-2.57, 2 Se 2.70
K1 0.5090 0.0180 0.5127  2 K 3.12, 3 Se 3.30-3.36, 1 W 3.43
Se1 0.2673 0.5345 0.8414  5 W 2.64-2.70

---

A plane-wave DFT calculation with PBEsol was carried out for crystalline SrCu2Hg at its relaxed geometry.

Results
**Polymorph energy (0 for the lowest one)**: 172 meV/atom

Cell: 4.8042 4.8042 4.8042 Å, 60.00 60.00 60.00°
With the nearest neighbours (Å) after each atom.
Sites, in units of the cell vectors:
Hg1 0.5000 0.5000 0.5000  8 Cu 2.94
Cu1 0.2500 0.2500 0.2500  4 Hg 2.94, 4 Sr 2.94
Cu2 0.7500 0.7500 0.7500  4 Hg 2.94, 4 Sr 2.94
Sr1 0.0000 0.0000 0.0000  8 Cu 2.94

---

no.,ρ (g/cm3)
1,6.3
2,8.7
3,8.8